Entry 1:
Density functional theory data (PBE+U) for a geometry-optimized Ag3WO structure.

The structure in POSCAR format:
```
Ag3WO
1.0
-0.031 4.214 -1.652
-3.484 1.032 2.699
2.890 1.290 3.236
O Ag W
1 3 1
direct
0.000 0.000 0.000
0.000 0.500 0.000
0.000 0.000 0.500
0.500 0.000 0.000
0.500 0.500 0.500
```

Results
Mass density: 9372 kg/m³
Raw total energy: -3.45 eV/atom
N(E_F): 1.6 states/eV/f.u.
Magnetic moment: 5.03 Bohr magnetons per cell

=====

Entry 2:
Density functional theory data (PBE+U) for a geometry-optimized Ag3WO structure.

The structure in POSCAR format:
```
Ag3WO
1.0
-5.165 -1.116 0.909
0.531 -4.625 -2.661
1.338 -2.473 4.566
O Ag W
1 3 1
direct
0.500 0.500 0.500
0.000 0.500 0.000
0.000 0.000 0.500
0.500 0.000 0.000
0.000 0.000 0.000
```

Results
Mass density: 5638 kg/m³
Raw total energy: -2.22 eV/atom
N(E_F): 4.2 states/eV/f.u.
Magnetic moment: 5.01 Bohr magnetons per cell